Nb2CdRu3: optimized geometry, PBE-GGA.

```
Nb2CdRu3
1.0
3.202 0.000 0.000
0.000 3.202 0.000
0.000 0.000 9.677
Ru Cd Nb
3 1 2
Cartesian
0.000 0.000 6.679 Ru
0.000 0.000 0.000 Ru
0.000 0.000 2.998 Ru
1.601 1.601 4.839 Cd
1.601 1.601 1.642 Nb
1.601 1.601 8.035 Nb
```

Calculated values
For the formation energy, the calculation gives -0.193 eV/atom. The calculation puts the density of states at the Fermi level at 2.198 states/eV/cell. The space group is P4/mmm (123).